[1]
# BaCu3Si2 PBE optimized geometry
data_BaCu3Si2
_chemical_formula_sum 'Ba4 Cu12 Si8'
_cell_length_a 16.947
_cell_length_b 4.062
_cell_length_c 6.817
_cell_angle_alpha 90.00
_cell_angle_beta 96.58
_cell_angle_gamma 90.00
_space_group_name_H-M_alt 'C 1 2/m 1'
_space_group_IT_number 12
_space_group_name_Hall '-C 2y'
loop_
_atom_site_label
_atom_site_type_symbol
_atom_site_fract_x
_atom_site_fract_y
_atom_site_fract_z
Ba1 Ba 0.091 0.000 0.219
Cu1 Cu 0.115 0.000 0.721
Cu2 Cu 0.199 0.500 0.558
Cu3 Cu 0.205 0.500 0.915
Si1 Si 0.056 0.500 0.629
Si2 Si 0.247 0.500 0.251
# Total moment in μB per cell: 0.00
# Raw formation energy in eV/f.u.: -1.2

[2]
# BaSrCuSi PBE optimized geometry
data_BaSrCuSi
_chemical_formula_sum 'Ba3 Sr3 Cu3 Si3'
_cell_length_a 4.3172
_cell_length_b 4.3172
_cell_length_c 25.3712
_cell_angle_alpha 90.00
_cell_angle_beta 90.00
_cell_angle_gamma 120.00
_space_group_name_H-M_alt 'R 3 m'
_space_group_IT_number 160
_space_group_name_Hall 'R 3 -2"'
loop_
_atom_site_label
_atom_site_type_symbol
_atom_site_fract_x
_atom_site_fract_y
_atom_site_fract_z
Ba1 Ba 0.0000 0.0000 0.0000
Sr1 Sr 0.0000 0.0000 0.8322
Cu1 Cu 0.0000 0.0000 0.5779
Si1 Si 0.0000 0.0000 0.2457
# Total moment in μB per cell: 0.00
# Raw formation energy in eV/f.u.: -1.2

[3]
# BaSrCu2Si2 PBE optimized geometry
data_BaSrCu2Si2
_chemical_formula_sum 'Ba1 Sr1 Cu2 Si2'
_cell_length_a 4.1548
_cell_length_b 4.1548
_cell_length_c 9.7073
_cell_angle_alpha 90.00
_cell_angle_beta 90.00
_cell_angle_gamma 120.00
_space_group_name_H-M_alt 'P -3 m 1'
_space_group_IT_number 164
_space_group_name_Hall '-P 3 2"'
loop_
_atom_site_label
_atom_site_type_symbol
_atom_site_fract_x
_atom_site_fract_y
_atom_site_fract_z
Ba1 Ba 0.0000 0.0000 0.0000
Sr1 Sr 0.0000 0.0000 0.5000
Cu1 Cu 0.3333 0.6667 0.7377
Si1 Si 0.3333 0.6667 0.2596
# Total moment in μB per cell: 0.00
# Raw formation energy in eV/f.u.: -1.8

[4]
# BaCuSi2Tc PBE optimized geometry
data_BaCuSi2Tc
_chemical_formula_sum 'Ba1 Cu1 Si2 Tc1'
_cell_length_a 4.649
_cell_length_b 4.649
_cell_length_c 5.122
_cell_angle_alpha 90.00
_cell_angle_beta 90.00
_cell_angle_gamma 90.00
_space_group_name_H-M_alt 'P 4/m m m'
_space_group_IT_number 123
_space_group_name_Hall '-P 4 2'
loop_
_atom_site_label
_atom_site_type_symbol
_atom_site_fract_x
_atom_site_fract_y
_atom_site_fract_z
Ba1 Ba 0.000 0.000 0.000
Cu1 Cu 0.500 0.500 0.000
Si1 Si 0.000 0.500 0.500
Tc1 Tc 0.500 0.500 0.500
# Total moment in μB per cell: 0.00
# Raw formation energy in eV/f.u.: -0.6

[5]
# Ba2TlCuSi PBE optimized geometry
data_Ba2TlCuSi
_chemical_formula_sum 'Ba2 Tl1 Cu1 Si1'
_cell_length_a 6.247
_cell_length_b 6.247
_cell_length_c 4.418
_cell_angle_alpha 90.00
_cell_angle_beta 90.00
_cell_angle_gamma 90.00
_space_group_name_H-M_alt 'P 4/m m m'
_space_group_IT_number 123
_space_group_name_Hall '-P 4 2'
loop_
_atom_site_label
_atom_site_type_symbol
_atom_site_fract_x
_atom_site_fract_y
_atom_site_fract_z
Ba1 Ba 0.000 0.500 0.000
Tl1 Tl 0.000 0.000 0.500
Cu1 Cu 0.500 0.500 0.000
Si1 Si 0.500 0.500 0.500
# Total moment in μB per cell: 0.00
# Raw formation energy in eV/f.u.: -0.8

[6]
# BaCuSiW2 PBE optimized geometry
data_BaCuSiW2
_chemical_formula_sum 'Ba1 Cu1 Si1 W2'
_cell_length_a 4.663
_cell_length_b 4.663
_cell_length_c 5.631
_cell_angle_alpha 90.00
_cell_angle_beta 90.00
_cell_angle_gamma 90.00
_space_group_name_H-M_alt 'P 4/m m m'
_space_group_IT_number 123
_space_group_name_Hall '-P 4 2'
loop_
_atom_site_label
_atom_site_type_symbol
_atom_site_fract_x
_atom_site_fract_y
_atom_site_fract_z
Ba1 Ba 0.000 0.000 0.000
Cu1 Cu 0.000 0.000 0.500
Si1 Si 0.500 0.500 0.000
W1 W 0.000 0.500 0.500
# Total moment in μB per cell: 0.99
# Raw formation energy in eV/f.u.: 9.4

[7]
# BaSm3Cu PBE optimized geometry
data_BaSm3Cu
_chemical_formula_sum 'Ba1 Sm3 Cu1'
_cell_length_a 5.658
_cell_length_b 5.658
_cell_length_c 5.658
_cell_angle_alpha 90.00
_cell_angle_beta 90.00
_cell_angle_gamma 90.00
_space_group_name_H-M_alt 'P m -3 m'
_space_group_IT_number 221
_space_group_name_Hall '-P 4 2 3'
loop_
_atom_site_label
_atom_site_type_symbol
_atom_site_fract_x
_atom_site_fract_y
_atom_site_fract_z
Ba1 Ba 0.000 0.000 0.000
Sm1 Sm 0.000 0.500 0.500
Cu1 Cu 0.500 0.500 0.500
# Total moment in μB per cell: 0.00
# DFT formation energy in eV/f.u.: 0.619

[8]
# BaSmCu PBE optimized geometry
data_BaSmCu
_chemical_formula_sum 'Ba4 Sm4 Cu4'
_cell_length_a 13.649
_cell_length_b 5.352
_cell_length_c 5.342
_cell_angle_alpha 90.00
_cell_angle_beta 90.00
_cell_angle_gamma 90.00
_space_group_name_H-M_alt 'A m m 2'
_space_group_IT_number 38
_space_group_name_Hall 'A 2 -2'
loop_
_atom_site_label
_atom_site_type_symbol
_atom_site_fract_x
_atom_site_fract_y
_atom_site_fract_z
Ba1 Ba 0.144 0.000 0.000
Sm1 Sm 0.386 0.000 0.503
Cu1 Cu 0.000 0.000 0.500
Cu2 Cu 0.500 0.000 0.003
# Total moment in μB per cell: 0.00
# Energy above the most stable polymorph in this dataset in meV per atom: 30
# DFT formation energy in eV/f.u.: 0.193

[9]
# BaSmCu PBE optimized geometry
data_BaSmCu
_chemical_formula_sum 'Ba2 Sm2 Cu2'
_cell_length_a 3.791
_cell_length_b 3.791
_cell_length_c 13.684
_cell_angle_alpha 90.00
_cell_angle_beta 90.00
_cell_angle_gamma 90.00
_space_group_name_H-M_alt 'I 4 m m'
_space_group_IT_number 107
_space_group_name_Hall 'I 4 -2'
loop_
_atom_site_label
_atom_site_type_symbol
_atom_site_fract_x
_atom_site_fract_y
_atom_site_fract_z
Ba1 Ba 0.000 0.000 0.000
Sm1 Sm 0.000 0.000 0.260
Cu1 Cu 0.000 0.000 0.666
# Total moment in μB per cell: 0.00
# Energy above the most stable polymorph in this dataset in meV per atom: 0
# DFT formation energy in eV/f.u.: 0.103

[10]
# BaSm2CuTe4 PBE optimized geometry
data_BaSm2CuTe4
_chemical_formula_sum 'Ba4 Sm8 Cu4 Te16'
_cell_length_a 4.481
_cell_length_b 15.035
_cell_length_c 15.521
_cell_angle_alpha 90.00
_cell_angle_beta 90.00
_cell_angle_gamma 90.00
_space_group_name_H-M_alt 'C m c m'
_space_group_IT_number 63
_space_group_name_Hall '-C 2c 2'
loop_
_atom_site_label
_atom_site_type_symbol
_atom_site_fract_x
_atom_site_fract_y
_atom_site_fract_z
Ba1 Ba 0.000 0.117 0.250
Sm1 Sm 0.000 0.370 0.060
Cu1 Cu 0.000 0.154 0.750
Te1 Te 0.000 0.000 0.000
Te2 Te 0.000 0.269 0.618
Te3 Te 0.000 0.439 0.250
# Total moment in μB per cell: 0.00
# Raw formation energy in eV/f.u.: -10.1

[11]
# BaSmCuTe3 PBE optimized geometry
data_BaSmCuTe3
_chemical_formula_sum 'Ba2 Sm2 Cu2 Te6'
_cell_length_a 9.532
_cell_length_b 4.473
_cell_length_c 9.936
_cell_angle_alpha 90.00
_cell_angle_beta 104.74
_cell_angle_gamma 90.00
_space_group_name_H-M_alt 'P 1 21/m 1'
_space_group_IT_number 11
_space_group_name_Hall '-P 2yb'
loop_
_atom_site_label
_atom_site_type_symbol
_atom_site_fract_x
_atom_site_fract_y
_atom_site_fract_z
Ba1 Ba 0.188 0.250 0.245
Sm1 Sm 0.325 0.750 0.839
Cu1 Cu 0.079 0.250 0.584
Te1 Te 0.104 0.250 0.863
Te2 Te 0.211 0.750 0.520
Te3 Te 0.445 0.750 0.170
# Total moment in μB per cell: 0.00
# Raw formation energy in eV/f.u.: -7.4

[12]
# BaCuSn3 PBE optimized geometry
data_BaCuSn3
_chemical_formula_sum 'Ba1 Cu1 Sn3'
_cell_length_a 5.280
_cell_length_b 5.280
_cell_length_c 5.280
_cell_angle_alpha 90.00
_cell_angle_beta 90.00
_cell_angle_gamma 90.00
_space_group_name_H-M_alt 'P m -3 m'
_space_group_IT_number 221
_space_group_name_Hall '-P 4 2 3'
loop_
_atom_site_label
_atom_site_type_symbol
_atom_site_fract_x
_atom_site_fract_y
_atom_site_fract_z
Ba1 Ba 0.000 0.000 0.000
Cu1 Cu 0.500 0.500 0.500
Sn1 Sn 0.000 0.500 0.500
# Total moment in μB per cell: 0.00
# DFT formation energy in eV/f.u.: -0.757

The calculation returns the following D(E_F) values, one per record and in order: 2.3, 3.7, 3.2, 1.7, 2.2, 5.2, 9.1, 3.7, 3.4, 2.1, 0.1, 2.9 states/eV/f.u..